Record 1
! KNi | Alexandria | PBE | optimized geometry; values from VASP
&SYSTEM
  ibrav = 0, nat = 16, ntyp = 2
/
ATOMIC_SPECIES
K 39.10 K.upf
Ni 58.69 Ni.upf
CELL_PARAMETERS angstrom
10.4667 0.0000 0.0000
0.0000 10.4667 0.0000
0.0000 0.0000 4.3222
ATOMIC_POSITIONS crystal
K 0.1105 0.2114 0.0000
K 0.2114 0.8895 0.0000
K 0.2886 0.3895 0.5000
K 0.3895 0.7114 0.5000
K 0.6105 0.2886 0.5000
K 0.7114 0.6105 0.5000
K 0.7886 0.1105 0.0000
K 0.8895 0.7886 0.0000
Ni 0.0520 0.5970 0.5000
Ni 0.0970 0.5520 0.0000
Ni 0.4030 0.0520 0.5000
Ni 0.4480 0.0970 0.0000
Ni 0.5520 0.9030 0.0000
Ni 0.5970 0.9480 0.5000
Ni 0.9030 0.4480 0.0000
Ni 0.9480 0.4030 0.5000
! * VASP energy: -2.919 eV per atom
! * calculated density: 2744 kg/m3
! * energy above the lowest structure with this stoichiometry: 0.008 eV/atom
! * Fermi-level density of states: 1.49 states/eV/f.u.
! * spin magnetization: 0.48 μB per formula unit
! * E_form: 0.521 eV/atom

=====

Record 2
! TbLuCoPd | Alexandria | PBE | optimized geometry; values from VASP
&SYSTEM
  ibrav = 0, nat = 16, ntyp = 4
/
ATOMIC_SPECIES
Tb 158.93 Tb.upf
Lu 174.97 Lu.upf
Co 58.93 Co.upf
Pd 106.42 Pd.upf
CELL_PARAMETERS angstrom
6.7983 0.0000 0.0000
0.0000 6.7983 0.0000
0.0000 0.0000 6.7983
ATOMIC_POSITIONS crystal
Tb 0.0000 0.0000 0.0000
Tb 0.0000 0.5000 0.5000
Tb 0.5000 0.0000 0.5000
Tb 0.5000 0.5000 0.0000
Lu 0.0000 0.0000 0.5000
Lu 0.0000 0.5000 0.0000
Lu 0.5000 0.0000 0.0000
Lu 0.5000 0.5000 0.5000
Co 0.2500 0.2500 0.7500
Co 0.2500 0.7500 0.2500
Co 0.7500 0.2500 0.2500
Co 0.7500 0.7500 0.7500
Pd 0.2500 0.2500 0.2500
Pd 0.2500 0.7500 0.7500
Pd 0.7500 0.2500 0.7500
Pd 0.7500 0.7500 0.2500
! * VASP energy: -5.886 eV per atom
! * calculated density: 10554 kg/m3
! * Fermi-level density of states: 2.04 states/eV/f.u.
! * spin magnetization: 0.08 μB per formula unit
! * E_form: -0.523 eV/atom

=====

Record 3
! RbCa3Mo | Alexandria | PBE | optimized geometry; values from VASP
&SYSTEM
  ibrav = 0, nat = 5, ntyp = 3
/
ATOMIC_SPECIES
Rb 85.47 Rb.upf
Ca 40.08 Ca.upf
Mo 95.94 Mo.upf
CELL_PARAMETERS angstrom
5.4959 0.0000 0.0000
0.0000 5.4959 0.0000
0.0000 0.0000 5.4959
ATOMIC_POSITIONS crystal
Rb 0.0000 0.0000 0.0000
Ca 0.0000 0.0000 0.5000
Ca 0.0000 0.5000 0.0000
Ca 0.5000 0.0000 0.0000
Mo 0.5000 0.5000 0.5000
! * VASP energy: -1.594 eV per atom
! * calculated density: 3017 kg/m3
! * energy above the lowest structure with this stoichiometry: 1.267 eV/atom
! * Fermi-level density of states: 9.95 states/eV/f.u.
! * spin magnetization: 0.00 μB per formula unit
! * E_form: 1.967 eV/atom

=====

Record 4
! CaPbAu6 | Alexandria | PBE | optimized geometry; values from VASP
&SYSTEM
  ibrav = 0, nat = 16, ntyp = 3
/
ATOMIC_SPECIES
Ca 40.08 Ca.upf
Pb 207.20 Pb.upf
Au 196.97 Au.upf
CELL_PARAMETERS angstrom
4.9486 0.0000 0.0000
0.0000 6.8343 0.0000
0.0000 0.0000 9.8521
ATOMIC_POSITIONS crystal
Ca 0.0000 0.0000 0.0000
Ca 0.0000 0.5000 0.5000
Pb 0.5000 0.0000 0.2809
Pb 0.5000 0.5000 0.7809
Au 0.0000 0.0000 0.4633
Au 0.0000 0.2117 0.7273
Au 0.0000 0.2883 0.2273
Au 0.0000 0.5000 0.9633
Au 0.0000 0.7117 0.2273
Au 0.0000 0.7883 0.7273
Au 0.5000 0.0000 0.8191
Au 0.5000 0.2166 0.5520
Au 0.5000 0.2834 0.0520
Au 0.5000 0.5000 0.3191
Au 0.5000 0.7166 0.0520
Au 0.5000 0.7834 0.5520
! * VASP energy: -3.433 eV per atom
! * calculated density: 14244 kg/m3
! * energy above the lowest structure with this stoichiometry: 0.000 eV/atom
! * Fermi-level density of states: 1.95 states/eV/f.u.
! * spin magnetization: 0.00 μB per formula unit
! * E_form: -0.262 eV/atom

=====

Record 5
! U2PaSi2Ru5 | Alexandria | PBE | optimized geometry; values from VASP
&SYSTEM
  ibrav = 0, nat = 20, ntyp = 4
/
ATOMIC_SPECIES
U 238.03 U.upf
Pa 231.04 Pa.upf
Si 28.09 Si.upf
Ru 101.07 Ru.upf
CELL_PARAMETERS angstrom
9.9197 0.0000 0.0000
0.0000 9.9197 0.0000
0.0000 0.0000 3.5299
ATOMIC_POSITIONS crystal
U 0.1709 0.3291 0.0000
U 0.3291 0.8291 0.0000
U 0.6709 0.1709 0.0000
U 0.8291 0.6709 0.0000
Pa 0.0000 0.0000 0.0000
Pa 0.5000 0.5000 0.0000
Si 0.1257 0.6257 0.0000
Si 0.3743 0.1257 0.0000
Si 0.6257 0.8743 0.0000
Si 0.8743 0.3743 0.0000
Ru 0.0000 0.5000 0.5000
Ru 0.0716 0.7866 0.5000
Ru 0.2134 0.0716 0.5000
Ru 0.2866 0.5716 0.5000
Ru 0.4284 0.2866 0.5000
Ru 0.5000 0.0000 0.5000
Ru 0.5716 0.7134 0.5000
Ru 0.7134 0.4284 0.5000
Ru 0.7866 0.9284 0.5000
Ru 0.9284 0.2134 0.5000
! * ΔE_f (raw): -431.8 meV/atom
! * VASP energy: -9.362 eV per atom
! * calculated density: 12130 kg/m3
! * Fermi-level density of states: 15.80 states/eV/f.u.
! * spin magnetization: 4.27 μB per formula unit

=====

Record 6
! Tb2DyPaCo2 | Alexandria | PBE | optimized geometry; values from VASP
&SYSTEM
  ibrav = 0, nat = 12, ntyp = 4
/
ATOMIC_SPECIES
Tb 158.93 Tb.upf
Dy 162.50 Dy.upf
Pa 231.04 Pa.upf
Co 58.93 Co.upf
CELL_PARAMETERS angstrom
-3.4172 6.3041 3.3639
3.4172 -6.3041 3.3639
3.4172 6.3041 -3.3639
ATOMIC_POSITIONS crystal
Tb 0.2009 0.2049 0.4058
Tb 0.2991 0.7049 0.0040
Tb 0.7009 0.2951 0.9960
Tb 0.7991 0.7951 0.5942
Dy 0.2500 0.7500 0.5000
Dy 0.7500 0.2500 0.5000
Pa 0.2500 0.2500 0.0000
Pa 0.7500 0.7500 0.0000
Co 0.0887 0.7932 0.8819
Co 0.4113 0.2932 0.7045
Co 0.5887 0.7068 0.2955
Co 0.9113 0.2068 0.1181
! * VASP energy: -6.455 eV per atom
! * calculated density: 9501 kg/m3
! * Fermi-level density of states: 6.52 states/eV/f.u.
! * spin magnetization: 0.00 μB per formula unit
! * E_form: -0.193 eV/atom